No. 1
DFT (PBE-GGA) results for LaRu after structural relaxation.

abc: 4.104 5.988 4.104
angles: 69.96 90.00 110.04
Atoms (fractional coordinates):
1 La 0.000 0.000 0.000
2 La 0.750 0.500 0.750
3 Ru 0.250 0.500 0.250
4 Ru 0.500 0.000 0.500

Fermi-level density of states (states/eV per cell): 5.10
Calculated volume (A^3/atom): 22.1
Energy of formation from the pure elements (meV per atom): 89
Uncorrected energy (Ry per atom): -0.5154
SG: I4_1/amd (141)



No. 2
DFT (PBE-GGA) results for Na4Tm3ScTe8 after structural relaxation.

abc: 8.699 9.074 8.700
angles: 118.67 120.00 90.00
Atoms (fractional coordinates):
1 Na 0.500 0.000 0.000
2 Na 0.500 0.000 0.500
3 Na 0.000 0.000 0.000
4 Na 0.000 0.000 0.500
5 Tm 0.500 0.500 0.000
6 Tm 0.500 0.500 0.500
7 Tm 0.000 0.500 0.500
8 Sc 0.000 0.500 0.000
9 Te 0.238 0.726 0.988
10 Te 0.238 0.726 0.476
11 Te 0.256 0.270 0.513
12 Te 0.749 0.726 0.988
13 Te 0.251 0.274 0.012
14 Te 0.744 0.730 0.487
15 Te 0.762 0.274 0.524
16 Te 0.762 0.274 0.012

Calculated volume (A^3/atom): 30.9
Formation energy without anion corrections (eV per atom): -1.264
Uncorrected energy (Ry per atom): -0.3233
SG: R-3m (166)



No. 3
DFT (PBE-GGA) results for MoPdC after structural relaxation.

abc: 3.100 3.100 9.412
angles: 80.52 80.52 60.00
Atoms (fractional coordinates):
1 Mo 0.624 0.624 0.127
2 Mo 0.376 0.376 0.873
3 C 0.254 0.254 0.238
4 C 0.746 0.746 0.762
5 Pd 0.873 0.873 0.380
6 Pd 0.127 0.127 0.620

Fermi-level density of states (states/eV per cell): 3.62
Calculated volume (A^3/atom): 12.8
Energy of formation from the pure elements (meV per atom): 298
Uncorrected energy (Ry per atom): -0.5967
SG: R-3m (166)



No. 4
DFT (PBE-GGA) results for RbMo2Pd after structural relaxation.

abc: 4.674 4.674 4.674
angles: 60.00 60.00 60.00
Atoms (fractional coordinates):
1 Mo 0.250 0.250 0.250
2 Mo 0.750 0.750 0.750
3 Rb 0.000 0.000 0.000
4 Pd 0.500 0.500 0.500

Fermi-level density of states (states/eV per cell): 5.67
Calculated volume (A^3/atom): 18.1
Energy of formation from the pure elements (meV per atom): 1746
Uncorrected energy (Ry per atom): -0.3829
Energy relative to the lowest polymorph listed for this composition (eV per atom): 0.2371
SG: Fm-3m (225)



No. 5
DFT (PBE-GGA) results for Tl2P4W after structural relaxation.

abc: 5.696 5.696 12.419
angles: 86.33 93.67 129.73
Atoms (fractional coordinates):
1 P 0.667 0.333 0.415
2 P 0.333 0.667 0.585
3 P 0.039 0.961 0.265
4 P 0.148 0.415 0.259
5 P 0.585 0.852 0.259
6 P 0.961 0.039 0.735
7 P 0.415 0.148 0.741
8 P 0.852 0.585 0.741
9 Tl 0.000 0.000 0.000
10 Tl 0.000 0.000 0.500
11 Tl 0.700 0.300 0.094
12 Tl 0.300 0.700 0.906
13 W 0.759 0.241 0.593
14 W 0.241 0.759 0.407

Fermi-level density of states (states/eV per cell): 3.73
Calculated volume (A^3/atom): 22.1
Energy of formation from the pure elements (meV per atom): 186
Uncorrected energy (Ry per atom): -0.3993
SG: C2/m (12)



No. 6
DFT (PBE-GGA) results for CaZnCu2 after structural relaxation.

abc: 4.327 4.326 3.831
angles: 90.00 90.00 90.00
Atoms (fractional coordinates):
1 Zn 0.500 0.000 0.500
2 Ca 0.000 0.500 0.500
3 Cu 0.000 0.000 0.000
4 Cu 0.500 0.500 0.000

Fermi-level density of states (states/eV per cell): 2.28
Calculated volume (A^3/atom): 17.9
Energy of formation from the pure elements (meV per atom): 75
Uncorrected energy (Ry per atom): -0.2052
SG: P4/mmm (123)



No. 7
DFT (PBE-GGA) results for AcNp2PaS8 after structural relaxation.

abc: 6.349 6.274 8.457
angles: 90.00 90.00 89.90
Site moments in Bohr magnetons follow the coordinates.
Atoms (fractional coordinates):
1 Ac 0.000 0.000 0.500  -0.01
2 Np 0.500 0.500 0.753  3.27
3 Np 0.500 0.500 0.247  3.27
4 Pa 0.000 0.000 0.000  0.08
5 S 0.160 0.763 0.224  -0.04
6 S 0.664 0.724 0.000  -0.09
7 S 0.840 0.237 0.224  -0.04
8 S 0.840 0.237 0.776  -0.04
9 S 0.336 0.276 0.000  -0.09
10 S 0.160 0.763 0.776  -0.04
11 S 0.625 0.721 0.500  -0.11
12 S 0.375 0.279 0.500  -0.11

Fermi-level density of states (states/eV per cell): 13.62
Calculated volume (A^3/atom): 28.1
Formation energy without anion corrections (eV per atom): -1.443
Uncorrected energy (Ry per atom): -0.5501
SG: P2/m (10)



No. 8
DFT (PBE-GGA) results for Dy2Y4Er2Th after structural relaxation.

abc: 3.588 9.471 9.521
angles: 115.15 90.00 100.92
Atoms (fractional coordinates):
1 Dy 0.852 0.703 0.333
2 Dy 0.148 0.297 0.667
3 Y 0.815 0.630 0.667
4 Y 0.185 0.370 0.333
5 Y 0.518 0.036 0.330
6 Y 0.482 0.964 0.670
7 Er 0.335 0.669 0.998
8 Er 0.665 0.331 0.002
9 Th 0.000 0.000 0.000

Fermi-level density of states (states/eV per cell): 13.06
Calculated volume (A^3/atom): 31.8
Energy of formation from the pure elements (meV per atom): 3
Uncorrected energy (Ry per atom): -0.4212
SG: C2/m (12)



No. 9
DFT (PBE-GGA) results for La2Re after structural relaxation.

abc: 6.061 6.061 6.487
angles: 56.76 56.76 74.41
Atoms (fractional coordinates):
1 La 0.126 0.474 0.699
2 La 0.526 0.874 0.801
3 La 0.474 0.126 0.199
4 La 0.874 0.526 0.301
5 Re 0.000 0.000 0.750
6 Re 0.000 0.000 0.250

Fermi-level density of states (states/eV per cell): 6.10
Calculated volume (A^3/atom): 27.8
Energy of formation from the pure elements (meV per atom): 242
Uncorrected energy (Ry per atom): -0.5286
Energy relative to the lowest polymorph listed for this composition (eV per atom): 0.0844
SG: C2/c (15)



No. 10
DFT (PBE-GGA) results for LiAcDySe3 after structural relaxation.

abc: 4.136 8.642 9.070
angles: 104.42 90.00 90.00
Atoms (fractional coordinates):
1 Li 0.250 0.088 0.588
2 Li 0.750 0.912 0.412
3 Ac 0.250 0.192 0.230
4 Ac 0.750 0.808 0.770
5 Dy 0.250 0.665 0.155
6 Dy 0.750 0.335 0.845
7 Se 0.750 0.898 0.132
8 Se 0.250 0.102 0.868
9 Se 0.250 0.784 0.489
10 Se 0.750 0.216 0.511
11 Se 0.750 0.443 0.176
12 Se 0.250 0.557 0.824

Fermi-level density of states (states/eV per cell): 5.34
Calculated volume (A^3/atom): 26.2
Formation energy without anion corrections (eV per atom): -1.720
Uncorrected energy (Ry per atom): -0.3846
SG: P2_1/m (11)



No. 11
DFT (PBE-GGA) results for ZnAgW2 after structural relaxation.

abc: 4.829 4.829 2.740
angles: 90.00 90.00 90.00
Atoms (fractional coordinates):
1 Ag 0.000 0.500 0.500
2 W 0.000 0.000 0.000
3 W 0.500 0.500 0.000
4 Zn 0.500 0.000 0.500

Fermi-level density of states (states/eV per cell): 3.67
Calculated volume (A^3/atom): 16.0
Energy of formation from the pure elements (meV per atom): 824
Uncorrected energy (Ry per atom): -0.4913
SG: P4/mmm (123)



No. 12
DFT (PBE-GGA) results for Mn2V2Rh after structural relaxation.

abc: 6.671 6.671 2.863
angles: 90.00 90.00 90.00
Atoms (fractional coordinates):
1 Mn 0.389 0.889 0.000
2 Mn 0.889 0.611 0.000
3 Mn 0.611 0.111 0.000
4 Mn 0.111 0.389 0.000
5 Rh 0.000 0.000 0.000
6 Rh 0.500 0.500 0.000
7 V 0.198 0.698 0.500
8 V 0.698 0.802 0.500
9 V 0.802 0.302 0.500
10 V 0.302 0.198 0.500

Fermi-level density of states (states/eV per cell): 10.67
Calculated volume (A^3/atom): 12.7
Energy of formation from the pure elements (meV per atom): -15
Uncorrected energy (Ry per atom): -0.6468
SG: P4/mbm (127)



No. 13
DFT (PBE-GGA) results for TlHgBr2 after structural relaxation.

abc: 5.583 5.583 5.583
angles: 60.00 60.00 60.00
Atoms (fractional coordinates):
1 Tl 0.750 0.750 0.750
2 Hg 0.500 0.500 0.500
3 Br 0.000 0.000 0.000
4 Br 0.250 0.250 0.250

Fermi-level density of states (states/eV per cell): 5.08
Calculated volume (A^3/atom): 30.8
Formation energy without anion corrections (eV per atom): -0.216
Uncorrected energy (Ry per atom): -0.1264
Energy relative to the lowest polymorph listed for this composition (eV per atom): 0.3046
SG: F-43m (216)



No. 14
DFT (PBE-GGA) results for Ho4CuTe after structural relaxation.

abc: 3.895 8.313 19.330
angles: 90.00 90.00 90.00
Atoms (fractional coordinates):
1 Ho 0.750 0.836 0.648
2 Ho 0.250 0.164 0.352
3 Ho 0.250 0.664 0.148
4 Ho 0.750 0.336 0.852
5 Ho 0.750 0.878 0.445
6 Ho 0.250 0.122 0.555
7 Ho 0.250 0.622 0.945
8 Ho 0.750 0.378 0.055
9 Ho 0.750 0.975 0.930
10 Ho 0.250 0.025 0.070
11 Ho 0.250 0.525 0.430
12 Ho 0.750 0.475 0.570
13 Ho 0.750 0.986 0.217
14 Ho 0.250 0.014 0.783
15 Ho 0.250 0.514 0.717
16 Ho 0.750 0.486 0.283
17 Cu 0.750 0.260 0.451
18 Cu 0.250 0.740 0.549
19 Cu 0.250 0.240 0.951
20 Cu 0.750 0.760 0.049
21 Te 0.750 0.715 0.812
22 Te 0.250 0.285 0.188
23 Te 0.250 0.785 0.312
24 Te 0.750 0.215 0.688

Fermi-level density of states (states/eV per cell): 28.31
Calculated volume (A^3/atom): 26.1
Formation energy without anion corrections (eV per atom): -0.503
Uncorrected energy (Ry per atom): -0.3499
Energy relative to the lowest polymorph listed for this composition (eV per atom): 0.0000
SG: Pnma (62)



No. 15
DFT (PBE-GGA) results for LaDyLu after structural relaxation.

abc: 3.600 3.600 7.978
angles: 103.04 103.04 90.00
Atoms (fractional coordinates):
1 Lu 0.663 0.663 0.327
2 La 0.332 0.332 0.665
3 Dy 0.004 0.004 0.008

Fermi-level density of states (states/eV per cell): 4.62
Calculated volume (A^3/atom): 32.7
Energy of formation from the pure elements (meV per atom): 39
Uncorrected energy (Ry per atom): -0.3414
Energy relative to the lowest polymorph listed for this composition (eV per atom): 0.0000
SG: I4mm (107)



No. 16
DFT (PBE-GGA) results for PtAuSe after structural relaxation.

abc: 3.619 3.619 5.218
angles: 90.00 90.00 120.00
Atoms (fractional coordinates):
1 Au 0.000 0.000 0.021
2 Pt 0.333 0.667 0.356
3 Se 0.667 0.333 0.623

Fermi-level density of states (states/eV per cell): 1.14
Calculated volume (A^3/atom): 19.7
Formation energy without anion corrections (eV per atom): 0.033
Uncorrected energy (Ry per atom): -0.3112
Energy relative to the lowest polymorph listed for this composition (eV per atom): 0.0000
SG: P3m1 (156)



No. 17
DFT (PBE-GGA) results for ThU2N4 after structural relaxation.

abc: 3.417 5.997 10.778
angles: 90.00 90.00 106.55
Site moments in Bohr magnetons follow the coordinates.
Atoms (fractional coordinates):
1 Th 0.614 0.228 0.750  0.11
2 Th 0.386 0.772 0.250  0.11
3 U 0.131 0.261 0.430  1.51
4 U 0.869 0.739 0.930  1.51
5 U 0.131 0.261 0.070  1.51
6 U 0.869 0.739 0.570  1.51
7 N 0.776 0.552 0.108  -0.06
8 N 0.776 0.552 0.392  -0.06
9 N 0.224 0.448 0.892  -0.06
10 N 0.224 0.448 0.608  -0.06
11 N 0.963 0.926 0.750  -0.05
12 N 0.037 0.074 0.250  -0.05
13 N 0.500 0.000 0.000  -0.08
14 N 0.500 0.000 0.500  -0.08

Fermi-level density of states (states/eV per cell): 15.17
Calculated volume (A^3/atom): 15.1
Formation energy without anion corrections (eV per atom): -1.396
Uncorrected energy (Ry per atom): -0.7672
SG: Cmcm (63)



No. 18
DFT (PBE-GGA) results for Er4CuNi3 after structural relaxation.

abc: 3.635 4.322 10.065
angles: 90.00 90.00 90.00
Atoms (fractional coordinates):
1 Er 0.500 0.500 0.366
2 Er 0.000 0.500 0.855
3 Er 0.000 0.000 0.141
4 Er 0.500 0.000 0.639
5 Cu 0.500 0.500 0.071
6 Ni 0.000 0.500 0.575
7 Ni 0.000 0.000 0.425
8 Ni 0.500 0.000 0.927

Fermi-level density of states (states/eV per cell): 6.52
Calculated volume (A^3/atom): 19.8
Energy of formation from the pure elements (meV per atom): -436
Uncorrected energy (Ry per atom): -0.3967
SG: Pmm2 (25)



No. 19
DFT (PBE-GGA) results for Be2InBr after structural relaxation.

abc: 4.545 4.545 7.340
angles: 53.28 53.28 42.90
Atoms (fractional coordinates):
1 Be 0.049 0.049 0.106
2 Be 0.451 0.451 0.394
3 Br 0.750 0.750 0.750
4 In 0.250 0.250 0.250

Fermi-level density of states (states/eV per cell): 1.60
Calculated volume (A^3/atom): 19.8
Formation energy without anion corrections (eV per atom): 0.371
Uncorrected energy (Ry per atom): -0.1907
Energy relative to the lowest polymorph listed for this composition (eV per atom): 0.1180
SG: C2/m (12)



No. 20
DFT (PBE-GGA) results for Te2PtW after structural relaxation.

abc: 4.468 2.941 7.160
angles: 116.96 90.00 90.00
Atoms (fractional coordinates):
1 Pt 0.500 0.750 0.750
2 Te 0.000 0.221 0.004
3 Te 0.000 0.279 0.496
4 W 0.500 0.250 0.250

Fermi-level density of states (states/eV per cell): 4.27
Calculated volume (A^3/atom): 21.0
Formation energy without anion corrections (eV per atom): 0.674
Uncorrected energy (Ry per atom): -0.4149
Energy relative to the lowest polymorph listed for this composition (eV per atom): 0.6232
SG: P2/m (10)